# 1
Compound: In2SiPb2
Source: Alexandria
Functional: PBE-GGA
Structure: optimized geometry

energy above the most stable polymorph in this dataset	130.7	kJ/mol of formula units
formation energy without anion corrections	0.53	eV per atom
total moment	0.00	μB per cell

abc: 8.466 8.466 8.466
angles: 150.12 150.12 42.76
Element x y z (fractional)
In: 0.090 0.090 0.000
In: 0.910 0.910 0.000
Si: 0.500 0.500 0.000
Pb: 0.250 0.750 0.500
Pb: 0.750 0.250 0.500

=====

# 2
Compound: InSi2Pb
Source: Alexandria
Functional: PBE-GGA
Structure: optimized geometry

energy above the most stable polymorph in this dataset	52.1	kJ/mol of formula units
formation energy without anion corrections	0.33	eV per atom
total moment	0.00	μB per cell

abc: 6.956 6.956 6.956
angles: 149.43 145.39 46.83
Element x y z (fractional)
In: 0.000 0.000 0.000
Si: 0.575 0.575 0.000
Si: 0.696 0.196 0.500
Pb: 0.300 0.800 0.500

=====

# 3
Compound: In2SiPb
Source: Alexandria
Functional: PBE-GGA
Structure: optimized geometry

energy above the most stable polymorph in this dataset	8.7	kJ/mol of formula units
formation energy without anion corrections	0.26	eV per atom
total moment	0.00	μB per cell

abc: 3.328 3.936 7.856
angles: 90.00 90.00 90.00
Element x y z (fractional)
In: 0.000 0.000 0.000
In: 0.500 0.500 0.265
Si: 0.500 0.500 0.806
Pb: 0.000 0.000 0.574

=====

# 4
Compound: InSi2Pb
Source: Alexandria
Functional: PBE-GGA
Structure: optimized geometry

energy above the most stable polymorph in this dataset	135.7	kJ/mol of formula units
formation energy without anion corrections	0.54	eV per atom
total moment	0.00	μB per cell

abc: 5.253 5.253 5.253
angles: 130.60 120.39 80.98
Element x y z (fractional)
In: 0.000 0.000 0.000
Si: 0.234 0.734 0.500
Si: 0.766 0.266 0.500
Pb: 0.500 0.500 0.000

=====

# 5
Compound: In2SiPb
Source: Alexandria
Functional: PBE-GGA
Structure: optimized geometry

energy above the most stable polymorph in this dataset	4.1	kJ/mol of formula units
formation energy without anion corrections	0.25	eV per atom
total moment	0.00	μB per cell

abc: 10.638 10.638 10.638
angles: 18.29 18.29 18.29
Element x y z (fractional)
In: 0.236 0.236 0.236
In: 0.764 0.764 0.764
Si: 0.500 0.500 0.500
Pb: 0.000 0.000 0.000

=====

# 6
Compound: In2SiPb
Source: Alexandria
Functional: PBE-GGA
Structure: optimized geometry

energy above the most stable polymorph in this dataset	4.7	kJ/mol of formula units
formation energy without anion corrections	0.25	eV per atom
total moment	0.00	μB per cell

abc: 3.458 3.522 8.281
angles: 90.00 90.00 90.00
Element x y z (fractional)
In: 0.000 0.000 0.204
In: 0.000 0.000 0.796
Si: 0.500 0.500 0.000
Pb: 0.500 0.500 0.500

=====

# 7
Compound: In2SiPb
Source: Alexandria
Functional: PBE-GGA
Structure: optimized geometry

energy above the most stable polymorph in this dataset	31.1	kJ/mol of formula units
formation energy without anion corrections	0.32	eV per atom
total moment	0.00	μB per cell

abc: 5.895 5.895 5.895
angles: 134.62 134.62 66.12
Element x y z (fractional)
In: 0.250 0.750 0.500
In: 0.750 0.250 0.500
Si: 0.000 0.000 0.000
Pb: 0.500 0.500 0.000

=====

# 8
Compound: In2SiPb
Source: Alexandria
Functional: PBE-GGA
Structure: optimized geometry

energy above the most stable polymorph in this dataset	9.7	kJ/mol of formula units
formation energy without anion corrections	0.26	eV per atom
total moment	0.00	μB per cell

abc: 7.223 7.223 7.223
angles: 149.19 146.53 46.13
Element x y z (fractional)
In: 0.000 0.000 0.000
In: 0.682 0.182 0.500
Si: 0.509 0.509 0.000
Pb: 0.312 0.812 0.500

=====

# 9
Compound: In2SiPb
Source: Alexandria
Functional: PBE-GGA
Structure: optimized geometry

energy above the most stable polymorph in this dataset	6.2	kJ/mol of formula units
formation energy without anion corrections	0.25	eV per atom
total moment	0.00	μB per cell

abc: 6.333 6.333 6.333
angles: 146.92 132.05 59.49
Element x y z (fractional)
In: 0.210 0.210 0.000
In: 0.790 0.790 0.000
Si: 0.000 0.500 0.500
Pb: 0.500 0.000 0.500

=====

# 10
Compound: InSi2Pb
Source: Alexandria
Functional: PBE-GGA
Structure: optimized geometry

energy above the most stable polymorph in this dataset	90.8	kJ/mol of formula units
formation energy without anion corrections	0.43	eV per atom
total moment	0.00	μB per cell

abc: 3.779 3.732 6.565
angles: 90.00 90.07 90.00
Element x y z (fractional)
In: 0.000 0.000 0.000
Si: 0.500 0.500 0.187
Si: 0.500 0.500 0.813
Pb: 0.000 0.000 0.500

=====

# 11
Compound: InSi2Pb
Source: Alexandria
Functional: PBE-GGA
Structure: optimized geometry

energy above the most stable polymorph in this dataset	78.1	kJ/mol of formula units
formation energy without anion corrections	0.39	eV per atom
total moment	0.00	μB per cell

abc: 5.753 5.753 6.275
angles: 121.13 121.13 36.54
Element x y z (fractional)
In: 0.000 0.000 0.000
Si: 0.263 0.263 0.888
Si: 0.737 0.737 0.112
Pb: 0.500 0.500 0.500

=====

# 12
Compound: In2SiPb
Source: Alexandria
Functional: PBE-GGA
Structure: optimized geometry

energy above the most stable polymorph in this dataset	12.5	kJ/mol of formula units
formation energy without anion corrections	0.27	eV per atom
total moment	0.00	μB per cell

abc: 10.199 10.199 10.199
angles: 19.62 19.62 19.62
Element x y z (fractional)
In: 0.000 0.000 0.000
In: 0.246 0.246 0.246
Si: 0.735 0.735 0.735
Pb: 0.477 0.477 0.477

=====

# 13
Compound: InSi2Pb
Source: Alexandria
Functional: PBE-GGA
Structure: optimized geometry

energy above the most stable polymorph in this dataset	141.3	kJ/mol of formula units
formation energy without anion corrections	0.56	eV per atom
total moment	0.00	μB per cell

abc: 9.145 9.145 9.145
angles: 21.96 21.96 21.96
Element x y z (fractional)
In: 0.000 0.000 0.000
Si: 0.257 0.257 0.257
Si: 0.743 0.743 0.743
Pb: 0.500 0.500 0.500

=====

# 14
Compound: In2SiPb
Source: Alexandria
Functional: PBE-GGA
Structure: optimized geometry

energy above the most stable polymorph in this dataset	10.6	kJ/mol of formula units
formation energy without anion corrections	0.26	eV per atom
total moment	0.00	μB per cell

abc: 3.272 3.272 9.659
angles: 90.00 90.00 98.89
Element x y z (fractional)
In: 0.000 0.000 0.213
In: 0.000 0.000 0.787
Si: 0.500 0.500 0.000
Pb: 0.500 0.500 0.500

=====

# 15
Compound: InSi4Pb
Source: Alexandria
Functional: PBE-GGA
Structure: optimized geometry

formation energy without anion corrections	0.48	eV per atom
total moment	0.00	μB per cell

abc: 5.513 5.513 5.513
angles: 60.00 60.00 60.00
Element x y z (fractional)
In: 0.000 0.000 0.000
Si: 0.372 0.372 0.372
Si: 0.372 0.372 0.885
Si: 0.372 0.885 0.372
Si: 0.885 0.372 0.372
Pb: 0.750 0.750 0.750

=====

# 16
Compound: InSi2Pb
Source: Alexandria
Functional: PBE-GGA
Structure: optimized geometry

energy above the most stable polymorph in this dataset	99.9	kJ/mol of formula units
formation energy without anion corrections	0.45	eV per atom
total moment	0.00	μB per cell

abc: 7.558 7.558 7.558
angles: 131.80 131.80 70.55
Element x y z (fractional)
In: 0.000 0.000 0.000
In: 0.750 0.250 0.500
Si: 0.115 0.625 0.990
Si: 0.375 0.365 0.490
Si: 0.635 0.125 0.010
Si: 0.875 0.885 0.510
Pb: 0.250 0.750 0.500
Pb: 0.500 0.500 0.000

=====

# 17
Compound: InSi2Pb
Source: Alexandria
Functional: PBE-GGA
Structure: optimized geometry

energy above the most stable polymorph in this dataset	0.0	kJ/mol of formula units
formation energy without anion corrections	0.19	eV per atom
total moment	0.00	μB per cell

abc: 3.725 3.725 8.234
angles: 101.59 101.59 59.98
Element x y z (fractional)
In: 0.000 0.000 0.000
Si: 0.453 0.453 0.382
Si: 0.751 0.751 0.261
Pb: 0.228 0.228 0.668

=====

# 18
Compound: In2SiPb
Source: Alexandria
Functional: PBE-GGA
Structure: optimized geometry

energy above the most stable polymorph in this dataset	41.7	kJ/mol of formula units
formation energy without anion corrections	0.34	eV per atom
total moment	0.00	μB per cell

abc: 6.057 6.057 3.225
angles: 90.00 90.00 119.23
Element x y z (fractional)
In: 0.000 0.500 0.000
In: 0.500 0.000 0.000
Si: 0.000 0.000 0.500
Pb: 0.500 0.500 0.500

=====

# 19
Compound: InSi2Pb
Source: Alexandria
Functional: PBE-GGA
Structure: optimized geometry

energy above the most stable polymorph in this dataset	40.6	kJ/mol of formula units
formation energy without anion corrections	0.30	eV per atom
total moment	0.00	μB per cell

abc: 3.416 3.416 7.803
angles: 90.00 90.00 90.00
Element x y z (fractional)
In: 0.000 0.000 0.000
Si: 0.000 0.000 0.626
Si: 0.500 0.500 0.720
Pb: 0.500 0.500 0.334

=====

# 20
Compound: In2SiPb
Source: Alexandria
Functional: PBE-GGA
Structure: optimized geometry

energy above the most stable polymorph in this dataset	0.0	kJ/mol of formula units
formation energy without anion corrections	0.23	eV per atom
total moment	0.00	μB per cell

abc: 3.975 3.916 7.063
angles: 90.00 104.79 90.00
Element x y z (fractional)
In: 0.000 0.000 0.000
In: 0.346 0.500 0.690
Si: 0.540 0.500 0.094
Pb: 0.722 0.000 0.427